Entry from Alexandria via LeMat-Bulk: a geometry-optimized La2SnSe5 structure (GGA-PBE).

Summary:
Energy above the lowest structure with this stoichiometry   0.175 eV/atom
Calculated density   4572 kg/m³
Energy relative to the elements, uncorrected   -1.25 eV per atom

a b c (Å): 5.6629 7.9081 13.7480
angles (deg): 90.00 90.00 110.98
Element x y z (fractional)
1 Sn 0.1677 0.3354 0.2500
2 Se 0.2923 0.5847 0.4029
3 Se 0.7077 0.4153 0.5971
4 Se 0.0437 0.0873 0.1104
5 Se 0.2818 0.5636 0.7500
6 La 0.1521 0.3043 0.5705
7 Se 0.0437 0.0873 0.3896
8 Se 0.2923 0.5847 0.0971
9 Se 0.9563 0.9127 0.8896
10 La 0.8479 0.6957 0.4295
11 Se 0.7182 0.4364 0.2500
12 Sn 0.8323 0.6646 0.7500
13 La 0.1521 0.3043 0.9295
14 La 0.8479 0.6957 0.0705
15 Se 0.7077 0.4153 0.9029
16 Se 0.9563 0.9127 0.6104

---

Entry from Alexandria via LeMat-Bulk: a geometry-optimized La2SnSe structure (GGA-PBE).

Summary:
Energy above the lowest structure with this stoichiometry   0.030 eV/atom
Calculated density   6142 kg/m³
Energy relative to the elements, uncorrected   -1.35 eV per atom

a b c (Å): 4.4918 4.4918 7.8003
angles (deg): 73.27 73.27 60.00
Element x y z (fractional)
1 Se 0.5000 0.5000 0.5000
2 Sn 0.0000 0.0000 0.0000
3 La 0.7529 0.7529 0.7412
4 La 0.2471 0.2471 0.2588

---

Entry from Alexandria via LeMat-Bulk: a geometry-optimized La3SnSe2 structure (GGA-PBE).

Summary:
Calculated density   6207 kg/m³
Energy relative to the elements, uncorrected   -1.60 eV per atom

a b c (Å): 4.4639 6.2760 7.6597
angles (deg): 114.18 106.95 90.00
Element x y z (fractional)
1 La 0.8273 0.8273 0.6546
2 La 0.5000 0.5000 0.0000
3 Sn 0.5000 0.0000 0.0000
4 Se 0.8355 0.3356 0.6712
5 Se 0.1645 0.6644 0.3288
6 La 0.1727 0.1727 0.3454